! BaSiSb2 (GGA-PBE, relaxed); values from VASP
! E = -3.995 eV per atom
! Symmetry = R-3m
! Formation energy (no corrections) = -0.097 eV per atom
&SYSTEM
  ibrav = 0, nat = 12, ntyp = 3
/
ATOMIC_SPECIES
Ba 137.33 Ba.upf
Si 28.09 Si.upf
Sb 121.76 Sb.upf
CELL_PARAMETERS angstrom
4.082 0.000 0.000
-2.041 3.535 0.000
0.000 0.000 25.772
ATOMIC_POSITIONS crystal
Ba 0.000 0.000 0.000
Ba 0.333 0.667 0.667
Ba 0.667 0.333 0.333
Si 0.000 0.000 0.500
Si 0.333 0.667 0.167
Si 0.667 0.333 0.833
Sb 0.000 0.000 0.228
Sb 0.000 0.000 0.772
Sb 0.333 0.667 0.439
Sb 0.333 0.667 0.895
Sb 0.667 0.333 0.105
Sb 0.667 0.333 0.561

! NaSnI2N (GGA-PBE, relaxed); values from VASP
! E = -3.317 eV per atom
! Symmetry = P4/mmm
! Formation energy (no corrections) = 0.033 eV per atom
! Energy above the most stable polymorph in this dataset = 0.0 meV per atom
&SYSTEM
  ibrav = 0, nat = 5, ntyp = 4
/
ATOMIC_SPECIES
Na 22.99 Na.upf
Sn 118.71 Sn.upf
I 126.90 I.upf
N 14.01 N.upf
CELL_PARAMETERS angstrom
6.205 0.000 0.000
0.000 6.205 0.000
0.000 0.000 3.957
ATOMIC_POSITIONS crystal
Na 0.000 0.000 0.000
Sn 0.500 0.500 0.500
I 0.000 0.500 0.500
I 0.500 0.000 0.500
N 0.500 0.500 0.000

! HfSbTeI2 (GGA-PBE, relaxed); values from VASP
! E = -3.970 eV per atom
! Symmetry = P4/mmm
! Formation energy (no corrections) = 0.093 eV per atom
! Energy above the most stable polymorph in this dataset = 22.5 meV per atom
&SYSTEM
  ibrav = 0, nat = 5, ntyp = 4
/
ATOMIC_SPECIES
Hf 178.49 Hf.upf
Sb 121.76 Sb.upf
Te 127.60 Te.upf
I 126.90 I.upf
CELL_PARAMETERS angstrom
5.460 0.000 0.000
0.000 5.460 0.000
0.000 0.000 5.951
ATOMIC_POSITIONS crystal
Hf 0.000 0.000 0.000
Sb 0.000 0.000 0.500
Te 0.500 0.500 0.500
I 0.000 0.500 0.000
I 0.500 0.000 0.000

E of number 2 (NaSnI2N)? -3.317 eV per atom

What is the formula in the third record? HfSbTeI2

The highest formation energy (no corrections) belongs to which entry? HfSbTeI2

Repeat the third record exactly.
! HfSbTeI2 (GGA-PBE, relaxed); values from VASP
! E = -3.970 eV per atom
! Symmetry = P4/mmm
! Formation energy (no corrections) = 0.093 eV per atom
! Energy above the most stable polymorph in this dataset = 22.5 meV per atom
&SYSTEM
  ibrav = 0, nat = 5, ntyp = 4
/
ATOMIC_SPECIES
Hf 178.49 Hf.upf
Sb 121.76 Sb.upf
Te 127.60 Te.upf
I 126.90 I.upf
CELL_PARAMETERS angstrom
5.460 0.000 0.000
0.000 5.460 0.000
0.000 0.000 5.951
ATOMIC_POSITIONS crystal
Hf 0.000 0.000 0.000
Sb 0.000 0.000 0.500
Te 0.500 0.500 0.500
I 0.000 0.500 0.000
I 0.500 0.000 0.000